[1]
This record from OQMD describes a geometry-optimized ScZn structure. The functional is PBE.

abc: 4.556 9.357 4.540
angles: 90.00 90.00 75.91
Positions (direct):
Sc  0.493  0.179  0.000
Sc  0.872  0.421  0.000
Sc  0.676  0.800  0.000
Sc  0.006  0.160  0.500
Sc  0.365  0.440  0.500
Zn  0.263  0.624  0.000
Zn  0.087  0.976  0.000
Zn  0.777  0.626  0.500
Zn  0.191  0.800  0.500
Zn  0.603  0.974  0.500

SG = No. 38
ΔE_f = -0.254 eV/atom

[2]
This record from OQMD describes a geometry-optimized ZrTaCuPb structure. The functional is PBE.

abc: 4.836 4.836 4.836
angles: 60.00 60.00 60.00
Positions (direct):
Cu  0.750  0.750  0.750
Pb  0.000  0.000  0.000
Ta  0.250  0.250  0.250
Zr  0.500  0.500  0.500

final energy = -0.4699 Ry/atom
SG = No. 216

[3]
This record from OQMD describes a geometry-optimized Li7DyO6 structure. The functional is PBE.

abc: 5.631 5.631 6.112
angles: 62.56 117.43 120.00
Positions (direct):
Dy  0.999  0.001  0.997
Li  0.348  0.651  0.045
Li  0.779  0.498  0.353
Li  0.071  0.221  0.353
Li  0.502  0.929  0.353
Li  0.512  0.133  0.643
Li  0.264  0.487  0.643
Li  0.866  0.736  0.643
O  0.749  0.875  0.258
O  0.384  0.251  0.258
O  0.125  0.616  0.258
O  0.596  0.795  0.729
O  0.928  0.404  0.729
O  0.205  0.072  0.729

final energy = -0.3876 Ry/atom
SG = No. 146

[4]
This record from OQMD describes a geometry-optimized TbTl2 structure. The functional is PBE.

abc: 6.140 6.140 6.140
angles: 60.00 60.00 60.00
Positions (direct):
Tb  0.000  0.000  0.000
Tb  0.250  0.250  0.250
Tl  0.625  0.625  0.125
Tl  0.625  0.125  0.625
Tl  0.125  0.625  0.625
Tl  0.625  0.625  0.625

final energy = -0.2326 Ry/atom
SG = No. 227

[5]
This record from OQMD describes a geometry-optimized Lu4SiGeN2 structure. The functional is PBE.

abc: 3.396 3.396 13.936
angles: 90.00 90.00 120.00
Positions (direct):
Ge  0.000  0.000  0.000
Lu  0.667  0.333  0.158
Lu  0.000  0.000  0.345
Lu  0.000  0.000  0.655
Lu  0.667  0.333  0.842
N  0.333  0.667  0.250
N  0.333  0.667  0.750
Si  0.667  0.333  0.500

final energy = -0.4981 Ry/atom
SG = No. 187

[6]
This record from OQMD describes a geometry-optimized Li4AlPtO6 structure. The functional is PBE.

abc: 5.041 5.041 5.044
angles: 99.76 99.76 119.95
Last column: magnetic moment on the atom in μB.
Positions (direct):
Al  0.167  0.833  0.000  0.00
Li  0.500  0.500  0.000  0.00
Li  0.999  0.001  0.500  0.00
Li  0.659  0.341  0.500  0.00
Li  0.342  0.658  0.500  0.00
O  0.935  0.590  0.228  0.09
O  0.564  0.922  0.230  0.09
O  0.233  0.219  0.231  0.07
O  0.781  0.767  0.769  0.07
O  0.078  0.436  0.770  0.08
O  0.410  0.065  0.772  0.10
Pt  0.833  0.167  0.000  0.34

final energy = -0.4222 Ry/atom
SG = No. 5

[7]
This record from OQMD describes a geometry-optimized Al4Ni11 structure. The functional is PBE.

abc: 8.638 8.638 4.654
angles: 90.00 90.00 90.00
Positions (direct):
Al  0.354  0.041  0.000
Al  0.041  0.354  0.000
Al  0.959  0.646  0.000
Al  0.646  0.959  0.000
Al  0.541  0.146  0.500
Al  0.854  0.459  0.500
Al  0.146  0.541  0.500
Al  0.459  0.854  0.500
Ni  0.094  0.094  0.000
Ni  0.564  0.234  0.000
Ni  0.766  0.436  0.000
Ni  0.500  0.500  0.000
Ni  0.234  0.564  0.000
Ni  0.436  0.766  0.000
Ni  0.906  0.906  0.000
Ni  0.317  0.317  0.250
Ni  0.683  0.683  0.250
Ni  0.817  0.183  0.250
Ni  0.183  0.817  0.250
Ni  0.000  0.000  0.500
Ni  0.266  0.064  0.500
Ni  0.064  0.266  0.500
Ni  0.594  0.406  0.500
Ni  0.406  0.594  0.500
Ni  0.936  0.734  0.500
Ni  0.734  0.936  0.500
Ni  0.817  0.183  0.750
Ni  0.183  0.817  0.750
Ni  0.317  0.317  0.750
Ni  0.683  0.683  0.750

final energy = -0.3952 Ry/atom
SG = No. 136

[8]
This record from OQMD describes a geometry-optimized NaOsSeO structure. The functional is PBE.

abc: 5.278 5.467 9.878
angles: 100.87 90.00 90.00
Positions (direct):
Na  0.650  0.273  0.234
Na  0.065  0.864  0.423
Na  0.565  0.136  0.577
Na  0.150  0.727  0.766
O  0.691  0.403  0.021
O  0.643  0.921  0.046
O  0.143  0.079  0.954
O  0.191  0.598  0.979
Os  0.245  0.948  0.121
Os  0.906  0.673  0.127
Os  0.406  0.327  0.873
Os  0.745  0.052  0.879
Se  0.138  0.359  0.257
Se  0.562  0.814  0.303
Se  0.062  0.186  0.697
Se  0.638  0.641  0.743

final energy = -0.4164 Ry/atom
SG = No. 4

[9]
This record from OQMD describes a geometry-optimized TbOsNO structure. The functional is PBE.

abc: 3.575 5.294 6.252
angles: 90.00 90.00 90.00
Positions (direct):
N  0.000  0.814  0.322
N  0.000  0.314  0.678
O  0.500  0.448  0.155
O  0.500  0.948  0.845
Os  0.000  0.456  0.404
Os  0.000  0.956  0.596
Tb  0.500  0.036  0.194
Tb  0.500  0.536  0.806

final energy = -0.5989 Ry/atom
SG = No. 26

[10]
This record from OQMD describes a geometry-optimized LuBeAlPd structure. The functional is PBE.

abc: 4.506 4.506 4.506
angles: 60.00 60.00 60.00
Positions (direct):
Al  0.000  0.000  0.000
Be  0.750  0.750  0.750
Lu  0.500  0.500  0.500
Pd  0.250  0.250  0.250

final energy = -0.3502 Ry/atom
SG = No. 216

[11]
This record from OQMD describes a geometry-optimized ZrPbO4 structure. The functional is PBE.

abc: 6.509 6.509 6.509
angles: 132.78 132.78 69.00
Positions (direct):
O  0.433  0.879  0.006
O  0.177  0.683  0.055
O  0.573  0.567  0.445
O  0.317  0.371  0.494
O  0.878  0.823  0.506
O  0.121  0.128  0.555
O  0.629  0.122  0.945
O  0.872  0.427  0.994
Pb  0.000  0.000  0.000
Pb  0.750  0.250  0.500
Zr  0.500  0.500  0.000
Zr  0.250  0.750  0.500

final energy = -0.5423 Ry/atom
SG = No. 88

[12]
This record from OQMD describes a geometry-optimized NaErHg6 structure. The functional is PBE.

abc: 6.633 6.633 5.101
angles: 90.00 90.00 120.00
Positions (direct):
Er  0.000  0.000  0.500
Hg  0.334  0.167  0.000
Hg  0.833  0.167  0.000
Hg  0.833  0.666  0.000
Hg  0.500  0.000  0.500
Hg  0.500  0.500  0.500
Hg  0.000  0.500  0.500
Na  0.333  0.667  0.000

final energy = -0.0888 Ry/atom
SG = No. 187

[13]
This record from OQMD describes a geometry-optimized TlCuNiHg structure. The functional is PBE.

abc: 4.576 4.576 4.576
angles: 60.00 60.00 60.00
Positions (direct):
Cu  0.750  0.750  0.750
Hg  0.500  0.500  0.500
Ni  0.250  0.250  0.250
Tl  0.000  0.000  0.000

final energy = -0.1991 Ry/atom
SG = No. 216

[14]
This record from OQMD describes a geometry-optimized SmTl2Ir2 structure. The functional is PBE.

abc: 6.539 6.539 6.539
angles: 140.33 140.33 57.36
Positions (direct):
Ir  0.750  0.250  0.500
Ir  0.250  0.750  0.500
Sm  0.000  0.000  0.000
Tl  0.380  0.380  0.000
Tl  0.620  0.620  0.000

final energy = -0.3855 Ry/atom
SG = No. 139

[15]
This record from OQMD describes a geometry-optimized Cs2K2HgP2 structure. The functional is PBE.

abc: 9.667 9.667 9.667
angles: 36.77 36.77 36.77
Positions (direct):
Cs  0.388  0.388  0.388
Cs  0.612  0.612  0.612
Hg  0.000  0.000  0.000
K  0.207  0.207  0.207
K  0.793  0.793  0.793
P  0.090  0.090  0.090
P  0.910  0.910  0.910

final energy = -0.1824 Ry/atom
SG = No. 166

[16]
This record from OQMD describes a geometry-optimized Sm2Fe structure. The functional is PBE.

abc: 7.907 7.907 7.907
angles: 60.00 60.00 60.00
Positions (direct):
Fe  0.250  0.250  0.250
Fe  0.500  0.500  0.500
Sm  0.875  0.375  0.375
Sm  0.375  0.875  0.375
Sm  0.375  0.375  0.375
Sm  0.375  0.375  0.875

SG = No. 227
ΔE_f = 1.107 eV/atom

[17]
This record from OQMD describes a geometry-optimized MgGaPt2 structure. The functional is PBE.

abc: 4.486 4.486 4.486
angles: 60.00 60.00 60.00
Positions (direct):
Ga  0.500  0.500  0.500
Mg  0.250  0.250  0.250
Pt  0.000  0.000  0.000
Pt  0.750  0.750  0.750

final energy = -0.3417 Ry/atom
SG = No. 216

[18]
This record from OQMD describes a geometry-optimized LuCoAsPt structure. The functional is PBE.

abc: 4.598 4.598 4.598
angles: 60.00 60.00 60.00
Positions (direct):
As  0.000  0.000  0.000
Co  0.750  0.750  0.750
Lu  0.250  0.250  0.250
Pt  0.500  0.500  0.500

final energy = -0.4368 Ry/atom
SG = No. 216

[19]
This record from OQMD describes a geometry-optimized GdHfBi structure. The functional is PBE.

abc: 5.002 5.002 5.002
angles: 60.00 60.00 60.00
Last column: magnetic moment on the atom in μB.
Positions (direct):
Bi  0.000  0.000  0.000  0.00
Gd  0.250  0.250  0.250  0.10
Hf  0.750  0.750  0.750  0.20

final energy = -0.4469 Ry/atom
SG = No. 216

[20]
This record from OQMD describes a geometry-optimized PrHfBi structure. The functional is PBE.

abc: 5.284 5.284 5.284
angles: 60.00 60.00 60.00
Last column: magnetic moment on the atom in μB.
Positions (direct):
Bi  0.250  0.250  0.250  -0.04
Hf  0.750  0.750  0.750  1.08
Pr  0.000  0.000  0.000  0.44

final energy = -0.4093 Ry/atom
SG = No. 216

[21]
This record from OQMD describes a geometry-optimized CdCuPbW structure. The functional is PBE.

abc: 4.759 4.759 4.759
angles: 60.00 60.00 60.00
Positions (direct):
Cd  0.500  0.500  0.500
Cu  0.750  0.750  0.750
Pb  0.000  0.000  0.000
W  0.250  0.250  0.250

final energy = -0.3208 Ry/atom
SG = No. 216

[22]
This record from OQMD describes a geometry-optimized LuZrSn structure. The functional is PBE.

abc: 4.902 4.902 4.902
angles: 60.00 60.00 60.00
Positions (direct):
Lu  0.250  0.250  0.250
Sn  0.000  0.000  0.000
Zr  0.750  0.750  0.750

final energy = -0.4275 Ry/atom
SG = No. 216

[23]
This record from OQMD describes a geometry-optimized WC2 structure. The functional is PBE.

abc: 4.338 4.338 4.338
angles: 60.00 60.00 60.00
Positions (direct):
C  0.625  0.625  0.125
C  0.625  0.125  0.625
C  0.125  0.625  0.625
C  0.625  0.625  0.625
W  0.000  0.000  0.000
W  0.250  0.250  0.250

final energy = -0.5715 Ry/atom
SG = No. 227

[24]
This record from OQMD describes a geometry-optimized CoNi structure. The functional is PBE.

abc: 4.272 4.272 4.272
angles: 33.70 33.70 33.70
Positions (direct):
Co  0.000  0.000  0.000
Ni  0.500  0.500  0.500

SG = No. 166
ΔE_f = 0.010 eV/atom

[25]
This record from OQMD describes a geometry-optimized ZrTlGaTe3 structure. The functional is PBE.

abc: 8.330 8.330 10.751
angles: 90.00 90.00 151.85
Last column: magnetic moment on the atom in μB.
Positions (direct):
Ga  0.965  0.035  0.250  0.02
Ga  0.035  0.965  0.750  0.02
Te  0.866  0.134  0.039  0.01
Te  0.585  0.415  0.250  0.01
Te  0.866  0.134  0.461  0.01
Te  0.134  0.866  0.539  0.01
Te  0.415  0.585  0.750  0.01
Te  0.134  0.866  0.961  0.01
Tl  0.259  0.741  0.250  0.02
Tl  0.741  0.259  0.750  0.02
Zr  0.500  0.500  0.000  0.33
Zr  0.500  0.500  0.500  0.33

final energy = -0.3155 Ry/atom
SG = No. 63